18
Lattice="-3.487 -2.001 2.352 0.567 -5.673 -8.596 9.329 -8.748 6.388" Properties=species:S:1:pos:R:3 comment="Ba2MgUTe5 PBE optimized geometry" space_group="Cmc2_1 (36)" e_form_raw_ev_per_atom=-1.195 pbc="T T T"
Ba 4.971 -13.126 0.817
Ba 6.142 -7.492 2.733
Ba 2.638 -4.421 0.149
Ba -0.918 -7.819 -3.400
Mg 6.933 -10.036 6.352
Mg 3.108 -9.790 -3.721
U 2.392 -9.445 0.124
U -0.324 -2.906 -2.952
Te -0.803 -4.790 -5.265
Te 5.925 -11.217 3.854
Te 6.037 -13.411 -2.458
Te 5.466 -9.619 -0.078
Te 2.385 -11.780 -1.873
Te 2.619 -7.324 2.264
Te 2.743 -7.324 -2.162
Te 0.798 -3.410 2.894
Te -0.759 -5.207 -0.942
Te 0.378 -1.223 -0.479

---

7
Lattice="4.891 0.000 0.000 0.000 4.891 0.000 2.445 2.445 5.716" Properties=species:S:1:pos:R:3 comment="TaCu2S4 PBE optimized geometry" polymorph_energy_ev_per_atom=0.4674 space_group="I4/mmm (139)" e_form_raw_ev_per_atom=-0.082 pbc="T T T"
S 2.445 2.445 3.365
S 4.891 4.891 2.351
S 0.000 2.445 0.000
S 2.445 0.000 0.000
Cu 2.445 2.445 1.205
Cu 4.891 4.891 4.510
Ta 0.000 0.000 0.000

---

18
Lattice="-3.244 -1.962 -7.787 7.720 -3.554 1.671 -5.342 -3.102 6.071" Properties=species:S:1:pos:R:3 comment="La6Co2Cu PBE optimized geometry" space_group="Immm (71)" delta_e_f_ev_per_fu=-1.03 pbc="T T T"
La -0.747 -6.069 2.109
La -0.120 -2.548 -2.154
La -2.502 -3.906 4.509
La 1.636 -4.712 -4.554
La 0.332 -6.205 -1.344
La -1.198 -2.413 1.299
La 0.173 -6.250 5.763
La -1.040 -2.368 -5.808
La -3.031 -4.706 -0.758
La 2.165 -3.912 0.713
La 2.955 -6.122 3.283
La -3.821 -2.496 -3.328
Co -3.438 -4.926 1.926
Co 2.572 -3.692 -1.971
Co -5.724 -3.376 -1.144
Co -2.862 -1.688 -0.572
Cu 1.189 -3.328 3.871
Cu 0.000 0.000 0.000

---

10
Lattice="3.707 0.000 0.000 -1.853 5.281 0.000 0.000 0.000 6.699" Properties=species:S:1:pos:R:3 comment="PuCo2SiC PBE optimized geometry" space_group="Cmcm (63)" e_form_raw_ev_per_atom=-0.421 pbc="T T T"
Pu 0.000 4.767 5.024
Pu 1.853 0.513 1.675
Co 0.000 1.757 6.316
Co 1.853 3.524 0.383
Co 0.000 1.757 3.732
Co 1.853 3.524 2.967
Si 1.853 2.409 5.024
Si 0.000 2.872 1.675
C 0.000 0.000 0.000
C 0.000 0.000 3.349

---

6
Lattice="4.630 0.000 0.000 0.000 4.630 0.000 0.000 0.000 8.714" Properties=species:S:1:pos:R:3 comment="Nd3ScPb2 PBE optimized geometry" space_group="P-4m2 (115)" delta_e_f_ev_per_fu=-2.57 pbc="T T T"
Nd 2.315 0.000 3.001
Nd 0.000 2.315 5.713
Nd 0.000 0.000 0.000
Sc 2.315 2.315 0.000
Pb 2.315 0.000 6.317
Pb 0.000 2.315 2.398

---

10
Lattice="-3.132 -0.390 6.241 3.739 -5.712 1.520 2.148 1.722 1.186" Properties=species:S:1:pos:R:3 comment="CoTc2As2 PBE optimized geometry" space_group="P4/mbm (127)" delta_e_f_ev_per_fu=0.96 pbc="T T T"
As 2.080 -4.968 3.446
As -0.206 -4.065 6.275
As -1.473 -1.133 4.314
As 0.813 -2.037 1.486
Co 0.000 0.000 0.000
Co 0.303 -3.051 3.880
Tc 3.033 -2.890 2.491
Tc 2.239 -4.265 5.926
Tc -0.278 -1.490 6.455
Tc 0.516 -0.115 3.021

---

12
Lattice="7.611 -0.001 0.000 -3.804 6.592 0.000 -1.270 -2.199 8.099" Properties=species:S:1:pos:R:3 comment="Cs3Ac2NpS6 PBE optimized geometry" space_group="C2/m (12)" e_form_raw_ev_per_atom=-1.676 pbc="T T T"
Cs -2.523 4.386 4.049
Cs 5.060 0.007 4.049
Cs 1.269 2.196 4.049
Ac 0.002 4.394 0.000
Ac 3.805 2.198 0.000
Np 0.000 0.000 0.000
S 3.747 2.296 6.577
S 2.596 4.495 1.527
S -1.210 2.097 1.522
S 0.116 4.393 6.577
S -0.059 -0.102 6.572
S 2.421 0.000 1.522

---

4
Lattice="3.354 0.000 0.000 0.000 3.354 0.000 0.000 0.000 9.069" Properties=species:S:1:pos:R:3 comment="PmHo2Fe PBE optimized geometry" polymorph_energy_ev_per_atom=0.0000 space_group="P4/mmm (123)" delta_e_f_ev_per_fu=0.26 pbc="T T T"
Fe 1.677 1.677 0.000
Ho 0.000 0.000 7.473
Ho 0.000 0.000 1.596
Pm 1.677 1.677 4.535

---

11
Lattice="5.045 0.000 0.000 0.000 7.920 0.451 -2.522 -2.903 8.593" Properties=species:S:1:pos:R:3 comment="La2Tb8Cd PBE optimized geometry" space_group="C2/m (12)" delta_e_f_ev_per_fu=-0.02 pbc="T T T"
La 2.522 1.271 4.928
La 0.000 3.746 4.116
Tb 0.000 2.013 7.343
Tb 2.522 6.151 3.484
Tb 2.522 4.423 6.673
Tb 2.522 -0.456 7.964
Tb 0.000 0.594 2.371
Tb 0.000 -1.134 5.560
Tb 2.522 3.004 1.701
Tb 0.000 5.473 1.080
Cd 2.522 0.000 0.000

---

11
Lattice="-0.830 3.528 1.860 0.505 -3.339 6.298 5.991 2.735 -2.773" Properties=species:S:1:pos:R:3 comment="BaI2O8 PBE optimized geometry" space_group="C2/m (12)" e_form_raw_ev_per_atom=-0.766 pbc="T T T"
Ba -0.415 1.764 0.930
I 4.666 1.268 -0.582
I 1.830 -1.872 4.107
O 3.767 2.173 5.964
O 5.254 3.819 3.506
O 3.262 1.021 2.657
O 1.425 -0.097 5.021
O 4.241 3.021 0.364
O 2.403 1.902 2.728
O 0.412 -0.896 1.879
O 1.899 0.751 -0.579

---

20
Lattice="6.182 0.000 0.000 0.000 10.663 0.000 0.000 0.000 11.089" Properties=species:S:1:pos:R:3 comment="AcSm5Bi4 PBE optimized geometry" space_group="Pmmn (59)" delta_e_f_ev_per_fu=-4.42 pbc="T T T"
Ac 6.182 0.000 0.000
Ac 0.000 5.332 5.545
Sm 1.555 7.997 8.318
Sm 1.555 2.666 8.318
Sm 3.099 5.332 0.000
Sm 1.555 7.997 2.771
Sm 1.555 2.666 2.771
Sm 4.628 7.997 2.773
Sm 4.628 2.666 2.773
Sm 3.083 0.000 5.545
Sm 4.628 2.666 8.316
Sm 4.628 7.997 8.316
Bi 6.181 0.000 7.387
Bi 3.093 8.657 0.000
Bi 3.093 2.006 0.000
Bi 6.181 0.000 3.702
Bi 0.001 5.332 1.842
Bi 3.090 7.337 5.545
Bi 3.090 3.326 5.545
Bi 0.001 5.332 9.247

---

5
Lattice="4.442 0.000 0.000 0.000 5.270 0.000 0.000 0.000 4.442" Properties=species:S:1:pos:R:3 comment="CuSi2RhAu PBE optimized geometry" space_group="P4/mmm (123)" e_form_raw_ev_per_atom=0.508 pbc="T T T"
Rh 0.000 0.000 0.000
Si 0.000 0.000 2.221
Si 2.221 0.000 0.000
Au 0.000 2.635 0.000
Cu 2.221 2.635 2.221